(1)
# K2B4H8O11 GGA-PBE optimized geometry
# - energy (eV/atom) = -6.1790
# - magnetic moment (μB per cell) = 0.00
data_K2B4H8O11
_cell_length_a 6.9587
_cell_length_b 11.8429
_cell_length_c 12.9886
_cell_angle_alpha 90.00
_cell_angle_beta 90.00
_cell_angle_gamma 90.00
_space_group_name_H-M_alt 'P 21 21 21'
_space_group_IT_number 19
loop_
_space_group_symop_operation_xyz
'x,y,z'
'-x+1/2,-y,z+1/2'
'x+1/2,-y+1/2,-z'
'-x,y+1/2,-z+1/2'
loop_
_atom_site_label
_atom_site_fract_x
_atom_site_fract_y
_atom_site_fract_z
_atom_site_occupancy
K1 0.0291 0.0835 0.1125 1
K2 0.2407 0.3431 0.5417 1
B1 0.0372 0.0695 0.8465 1
B2 0.0879 0.4601 0.8036 1
B3 0.1240 0.6667 0.7935 1
B4 0.2132 0.3509 0.1228 1
H1 0.0133 0.8413 0.2011 1
H2 0.0831 0.3414 0.9861 1
H3 0.0872 0.8298 0.8386 1
H4 0.0893 0.2864 0.8204 1
H5 0.1116 0.1664 0.3311 1
H6 0.1308 0.0404 0.3615 1
H7 0.2018 0.8801 0.4103 1
H8 0.2382 0.8527 0.1947 1
O1 0.0048 0.9588 0.7903 1
O2 0.0374 0.0960 0.3321 1
O3 0.0519 0.1617 0.7711 1
O4 0.0604 0.3204 0.0595 1
O5 0.1156 0.7554 0.8704 1
O6 0.1192 0.8560 0.1520 1
O7 0.1218 0.3600 0.8567 1
O8 0.1350 0.5875 0.5851 1
O9 0.1535 0.5575 0.8485 1
O10 0.2048 0.3135 0.2232 1
O11 0.2082 0.0562 0.9106 1

=====

(2)
# MoIrRuRh GGA-PBE optimized geometry
# - energy (eV/atom) = -9.2759
# - E_form (eV/atom) = -0.196
# - magnetic moment (μB per cell) = 0.00
data_MoIrRuRh
_cell_length_a 3.8480
_cell_length_b 3.8573
_cell_length_c 3.9050
_cell_angle_alpha 90.00
_cell_angle_beta 90.00
_cell_angle_gamma 90.00
_space_group_name_H-M_alt 'P m m m'
_space_group_IT_number 47
loop_
_space_group_symop_operation_xyz
'x,y,z'
'-x,-y,-z'
'-x,-y,z'
'x,y,-z'
'x,-y,-z'
'-x,y,z'
'-x,y,-z'
'x,-y,z'
loop_
_atom_site_label
_atom_site_fract_x
_atom_site_fract_y
_atom_site_fract_z
_atom_site_occupancy
Mo1 0.0000 0.0000 0.0000 1
Ir1 0.5000 0.0000 0.5000 1
Ru1 0.5000 0.5000 0.0000 1
Rh1 0.0000 0.5000 0.5000 1

=====

(3)
# Na3OsBr2Cl6 GGA-PBE optimized geometry
# - energy (eV/atom) = -3.4569
# - magnetic moment (μB per cell) = 5.78
data_Na3OsBr2Cl6
_cell_length_a 14.4743
_cell_length_b 8.0878
_cell_length_c 5.9708
_cell_angle_alpha 90.00
_cell_angle_beta 93.62
_cell_angle_gamma 90.00
_space_group_name_H-M_alt 'C 1 2/m 1'
_space_group_IT_number 12
loop_
_space_group_symop_operation_xyz
'x,y,z'
'-x,-y,-z'
'-x,y,-z'
'x,-y,z'
'x+1/2,y+1/2,z'
'-x+1/2,-y+1/2,-z'
'-x+1/2,y+1/2,-z'
'x+1/2,-y+1/2,z'
loop_
_atom_site_label
_atom_site_fract_x
_atom_site_fract_y
_atom_site_fract_z
_atom_site_occupancy
Na1 0.0000 0.0000 0.0000 1
Na2 0.2500 0.2500 0.5000 1
Os1 0.0000 0.5000 0.5000 1
Br1 0.1780 0.0000 0.2079 1
Cl1 0.0723 0.2960 0.7236 1
Cl2 0.1253 0.5000 0.2746 1